<w>
DFT (PBE) results for an optimized crystal structure of CuAuI2.

Cell and atoms, written as CIF:
```
data_CuAuI2
_chemical_formula_sum 'Cu1 Au1 I2'
_space_group_name_H-M_alt 'P 1 m 1'
_space_group_IT_number 6
_cell_length_a 4.703
_cell_length_b 4.209
_cell_length_c 6.851
_cell_angle_alpha 90.00
_cell_angle_beta 91.20
_cell_angle_gamma 90.00
loop_
_space_group_symop_operation_xyz
'x,y,z'
'x,-y,z'
loop_
_atom_site_label
_atom_site_fract_x
_atom_site_fract_y
_atom_site_fract_z
Cu1 0.000 0.000 0.000
Au1 0.661 0.500 0.105
I1 0.372 0.000 0.286
I2 0.965 0.500 0.771
```

Output
ρ: 6.30 g/cm³

***

<x>
DFT (PBE) results for an optimized crystal structure of CuAuI2.

Cell and atoms, written as CIF:
```
data_CuAuI2
_chemical_formula_sum 'Cu3 Au3 I6'
_space_group_name_H-M_alt 'R -3 m'
_space_group_IT_number 166
_space_group_name_Hall '-R 3 2"'
_cell_length_a 4.2505
_cell_length_b 4.2505
_cell_length_c 24.4736
_cell_angle_alpha 90.00
_cell_angle_beta 90.00
_cell_angle_gamma 120.00
loop_
_atom_site_label
_atom_site_fract_x
_atom_site_fract_y
_atom_site_fract_z
Cu1 0.0000 0.0000 0.0000
Au1 0.0000 0.0000 0.5000
I1 0.0000 0.0000 0.3938
```

Output
ρ: 6.69 g/cm³

***

Short version: <w> is the most stable of them.

***

<w>
DFT (PBE) results for an optimized crystal structure of CuAuI2.

Cell and atoms, written as CIF:
```
data_CuAuI2
_chemical_formula_sum 'Cu2 Au2 I4'
_space_group_name_H-M_alt 'C 1 2/m 1'
_space_group_IT_number 12
_cell_length_a 14.428
_cell_length_b 3.946
_cell_length_c 4.743
_cell_angle_alpha 90.00
_cell_angle_beta 95.52
_cell_angle_gamma 90.00
loop_
_space_group_symop_operation_xyz
'x,y,z'
'-x,-y,-z'
'-x,y,-z'
'x,-y,z'
'x+1/2,y+1/2,z'
'-x+1/2,-y+1/2,-z'
'-x+1/2,y+1/2,-z'
'x+1/2,-y+1/2,z'
loop_
_atom_site_label
_atom_site_fract_x
_atom_site_fract_y
_atom_site_fract_z
Cu1 0.000 0.000 0.000
Au1 0.000 0.500 0.500
I1 0.134 0.500 0.164
```

Output
ρ: 6.36 g/cm³

***

<x>
DFT (PBE) results for an optimized crystal structure of CuAuI2.

Cell and atoms, written as CIF:
```
data_CuAuI2
_chemical_formula_sum 'Cu4 Au4 I8'
_space_group_name_H-M_alt 'F m -3 m'
_space_group_IT_number 225
_space_group_name_Hall '-F 4 2 3'
_cell_length_a 7.440
_cell_length_b 7.440
_cell_length_c 7.440
_cell_angle_alpha 90.00
_cell_angle_beta 90.00
_cell_angle_gamma 90.00
loop_
_atom_site_label
_atom_site_fract_x
_atom_site_fract_y
_atom_site_fract_z
Cu1 0.000 0.000 0.000
Au1 0.000 0.000 0.500
I1 0.250 0.250 0.250
```

Output
ρ: 8.30 g/cm³

***

Short version: <w> is the most stable of them.

***

<w>
DFT (PBE) results for an optimized crystal structure of Cu2Au2I.

Cell and atoms, written as CIF:
```
data_Cu2Au2I
_chemical_formula_sum 'Cu4 Au4 I2'
_space_group_name_H-M_alt 'P 4/m b m'
_space_group_IT_number 127
_space_group_name_Hall '-P 4 2ab'
_cell_length_a 7.216
_cell_length_b 7.216
_cell_length_c 3.597
_cell_angle_alpha 90.00
_cell_angle_beta 90.00
_cell_angle_gamma 90.00
loop_
_atom_site_label
_atom_site_fract_x
_atom_site_fract_y
_atom_site_fract_z
Cu1 0.142 0.358 0.000
Au1 0.142 0.642 0.500
I1 0.000 0.000 0.000
```

Output
ρ: 11.49 g/cm³

***

<x>
DFT (PBE) results for an optimized crystal structure of Cu2Au2I.

Cell and atoms, written as CIF:
```
data_Cu2Au2I
_chemical_formula_sum 'Cu4 Au4 I2'
_space_group_name_H-M_alt 'I 4/m m m'
_space_group_IT_number 139
_space_group_name_Hall '-I 4 2'
_cell_length_a 3.883
_cell_length_b 3.883
_cell_length_c 13.358
_cell_angle_alpha 90.00
_cell_angle_beta 90.00
_cell_angle_gamma 90.00
loop_
_atom_site_label
_atom_site_fract_x
_atom_site_fract_y
_atom_site_fract_z
Cu1 0.000 0.500 0.250
Au1 0.000 0.000 0.119
I1 0.000 0.000 0.500
```

Output
ρ: 10.68 g/cm³

***

<y>
DFT (PBE) results for an optimized crystal structure of Cu2Au2I.

Cell and atoms, written as CIF:
```
data_Cu2Au2I
_chemical_formula_sum 'Cu4 Au4 I2'
_space_group_name_H-M_alt 'P 4/m b m'
_space_group_IT_number 127
_space_group_name_Hall '-P 4 2ab'
_cell_length_a 7.852
_cell_length_b 7.852
_cell_length_c 3.022
_cell_angle_alpha 90.00
_cell_angle_beta 90.00
_cell_angle_gamma 90.00
loop_
_atom_site_label
_atom_site_fract_x
_atom_site_fract_y
_atom_site_fract_z
Cu1 0.158 0.342 0.000
Au1 0.133 0.633 0.500
I1 0.000 0.000 0.500
```

Output
ρ: 11.55 g/cm³

***

Short version: <w> is the most stable of them.

***

<w>
DFT (PBE) results for an optimized crystal structure of Cu2Au2I7.

Cell and atoms, written as CIF:
```
data_Cu2Au2I7
_chemical_formula_sum 'Cu4 Au4 I14'
_space_group_name_H-M_alt 'C 1 2/m 1'
_space_group_IT_number 12
_cell_length_a 9.215
_cell_length_b 11.219
_cell_length_c 9.093
_cell_angle_alpha 90.00
_cell_angle_beta 104.10
_cell_angle_gamma 90.00
loop_
_space_group_symop_operation_xyz
'x,y,z'
'-x,-y,-z'
'-x,y,-z'
'x,-y,z'
'x+1/2,y+1/2,z'
'-x+1/2,-y+1/2,-z'
'-x+1/2,y+1/2,-z'
'x+1/2,-y+1/2,z'
loop_
_atom_site_label
_atom_site_fract_x
_atom_site_fract_y
_atom_site_fract_z
Cu1 0.000 0.167 0.000
Au1 0.128 0.500 0.247
I1 0.000 0.500 0.500
I2 0.122 0.263 0.256
I3 0.196 0.000 0.972
```

Output
ρ: 5.13 g/cm³

***

<x>
DFT (PBE) results for an optimized crystal structure of Cu2Au2I7.

Cell and atoms, written as CIF:
```
data_Cu2Au2I7
_chemical_formula_sum 'Cu4 Au4 I14'
_space_group_name_H-M_alt 'C 1 2/m 1'
_space_group_IT_number 12
_cell_length_a 8.011
_cell_length_b 17.807
_cell_length_c 7.600
_cell_angle_alpha 90.00
_cell_angle_beta 90.32
_cell_angle_gamma 90.00
loop_
_space_group_symop_operation_xyz
'x,y,z'
'-x,-y,-z'
'-x,y,-z'
'x,-y,z'
'x+1/2,y+1/2,z'
'-x+1/2,-y+1/2,-z'
'-x+1/2,y+1/2,-z'
'x+1/2,-y+1/2,z'
loop_
_atom_site_label
_atom_site_fract_x
_atom_site_fract_y
_atom_site_fract_z
Cu1 0.188 0.000 0.016
Au1 0.000 0.250 0.500
I1 0.000 0.500 0.000
I2 0.015 0.000 0.735
I3 0.249 0.250 0.252
```

Output
ρ: 4.32 g/cm³

***

Short version: <w> is the most stable of them.

***

<w>
DFT (PBE) results for an optimized crystal structure of CuAuI3.

Cell and atoms, written as CIF:
```
data_CuAuI3
_chemical_formula_sum 'Cu1 Au1 I3'
_space_group_name_H-M_alt 'P m -3 m'
_space_group_IT_number 221
_space_group_name_Hall '-P 4 2 3'
_cell_length_a 5.399
_cell_length_b 5.399
_cell_length_c 5.399
_cell_angle_alpha 90.00
_cell_angle_beta 90.00
_cell_angle_gamma 90.00
loop_
_atom_site_label
_atom_site_fract_x
_atom_site_fract_y
_atom_site_fract_z
Cu1 0.000 0.000 0.000
Au1 0.500 0.500 0.500
I1 0.000 0.000 0.500
```

Output
ρ: 6.77 g/cm³

***

<x>
DFT (PBE) results for an optimized crystal structure of CuAuI3.

Cell and atoms, written as CIF:
```
data_CuAuI3
_chemical_formula_sum 'Cu4 Au4 I12'
_space_group_name_H-M_alt 'C m c 21'
_space_group_IT_number 36
_cell_length_a 4.036
_cell_length_b 25.731
_cell_length_c 7.228
_cell_angle_alpha 90.00
_cell_angle_beta 90.00
_cell_angle_gamma 90.00
loop_
_space_group_symop_operation_xyz
'x,y,z'
'-x,-y,z+1/2'
'-x,y,z'
'x,-y,z+1/2'
'x+1/2,y+1/2,z'
'-x+1/2,-y+1/2,z+1/2'
'-x+1/2,y+1/2,z'
'x+1/2,-y+1/2,z+1/2'
loop_
_atom_site_label
_atom_site_fract_x
_atom_site_fract_y
_atom_site_fract_z
Cu1 0.000 0.197 0.000
Au1 0.000 0.415 0.047
I1 0.000 0.052 0.334
I2 0.000 0.271 0.717
I3 0.000 0.368 0.368
```

Output
ρ: 5.67 g/cm³

***

<y>
DFT (PBE) results for an optimized crystal structure of CuAuI3.

Cell and atoms, written as CIF:
```
data_CuAuI3
_chemical_formula_sum 'Cu4 Au4 I12'
_space_group_name_H-M_alt 'C 1 2/m 1'
_space_group_IT_number 12
_cell_length_a 16.135
_cell_length_b 4.138
_cell_length_c 11.008
_cell_angle_alpha 90.00
_cell_angle_beta 95.64
_cell_angle_gamma 90.00
loop_
_space_group_symop_operation_xyz
'x,y,z'
'-x,-y,-z'
'-x,y,-z'
'x,-y,z'
'x+1/2,y+1/2,z'
'-x+1/2,-y+1/2,-z'
'-x+1/2,y+1/2,-z'
'x+1/2,-y+1/2,z'
loop_
_atom_site_label
_atom_site_fract_x
_atom_site_fract_y
_atom_site_fract_z
Cu1 0.069 0.000 0.298
Au1 0.117 0.500 0.915
I1 0.091 0.000 0.742
I2 0.132 0.500 0.409
I3 0.139 0.000 0.088
```

Output
ρ: 5.82 g/cm³

***

Short version: <y> is the most stable of them.

***

<w>
DFT (PBE) results for an optimized crystal structure of CuAu2I6.

Cell and atoms, written as CIF:
```
data_CuAu2I6
_chemical_formula_sum 'Cu2 Au4 I12'
_space_group_name_H-M_alt 'P 1 21/c 1'
_space_group_IT_number 14
_cell_length_a 7.534
_cell_length_b 7.364
_cell_length_c 13.941
_cell_angle_alpha 90.00
_cell_angle_beta 102.77
_cell_angle_gamma 90.00
loop_
_space_group_symop_operation_xyz
'x,y,z'
'-x,-y,-z'
'-x,y+1/2,-z+1/2'
'x,-y+1/2,z+1/2'
loop_
_atom_site_label
_atom_site_fract_x
_atom_site_fract_y
_atom_site_fract_z
Cu1 0.000 0.000 0.000
Au1 0.339 0.125 0.833
I1 0.121 0.199 0.437
I2 0.204 0.682 0.407
I3 0.439 0.042 0.274
```

Output
ρ: 5.37 g/cm³

***

<x>
DFT (PBE) results for an optimized crystal structure of CuAu2I6.

Cell and atoms, written as CIF:
```
data_CuAu2I6
_chemical_formula_sum 'Cu4 Au8 I24'
_space_group_name_H-M_alt 'C 1 2/c 1'
_space_group_IT_number 15
_cell_length_a 15.160
_cell_length_b 13.627
_cell_length_c 7.679
_cell_angle_alpha 90.00
_cell_angle_beta 103.84
_cell_angle_gamma 90.00
loop_
_space_group_symop_operation_xyz
'x,y,z'
'-x,-y,-z'
'-x,y,-z+1/2'
'x,-y,z+1/2'
'x+1/2,y+1/2,z'
'-x+1/2,-y+1/2,-z'
'-x+1/2,y+1/2,-z+1/2'
'x+1/2,-y+1/2,z+1/2'
loop_
_atom_site_label
_atom_site_fract_x
_atom_site_fract_y
_atom_site_fract_z
Cu1 0.000 0.171 0.250
Au1 0.249 0.085 0.375
I1 0.125 0.164 0.552
I2 0.128 0.162 0.076
I3 0.143 0.498 0.323
```

Output
ρ: 5.26 g/cm³

***

Short version: <w> is the most stable of them.

***

<w>
DFT (PBE) results for an optimized crystal structure of Cu2AuI2.

Cell and atoms, written as CIF:
```
data_Cu2AuI2
_chemical_formula_sum 'Cu4 Au2 I4'
_space_group_name_H-M_alt 'P 4/m b m'
_space_group_IT_number 127
_space_group_name_Hall '-P 4 2ab'
_cell_length_a 7.358
_cell_length_b 7.358
_cell_length_c 3.985
_cell_angle_alpha 90.00
_cell_angle_beta 90.00
_cell_angle_gamma 90.00
loop_
_atom_site_label
_atom_site_fract_x
_atom_site_fract_y
_atom_site_fract_z
Cu1 0.132 0.368 0.000
Au1 0.000 0.000 0.000
I1 0.178 0.678 0.500
```

Output
ρ: 8.90 g/cm³

***

<x>
DFT (PBE) results for an optimized crystal structure of Cu2AuI2.

Cell and atoms, written as CIF:
```
data_Cu2AuI2
_chemical_formula_sum 'Cu4 Au2 I4'
_space_group_name_H-M_alt 'I 4/m m m'
_space_group_IT_number 139
_space_group_name_Hall '-I 4 2'
_cell_length_a 5.463
_cell_length_b 5.463
_cell_length_c 7.937
_cell_angle_alpha 90.00
_cell_angle_beta 90.00
_cell_angle_gamma 90.00
loop_
_atom_site_label
_atom_site_fract_x
_atom_site_fract_y
_atom_site_fract_z
Cu1 0.000 0.000 0.172
Au1 0.000 0.000 0.500
I1 0.000 0.500 0.250
```

Output
ρ: 8.10 g/cm³

***

Short version: <w> is the most stable of them.

***

<w>
DFT (PBE) results for an optimized crystal structure of CuAu2I.

Cell and atoms, written as CIF:
```
data_CuAu2I
_chemical_formula_sum 'Cu4 Au8 I4'
_space_group_name_H-M_alt 'I -4 2 d'
_space_group_IT_number 122
_space_group_name_Hall 'I -4 2bw'
_cell_length_a 3.957
_cell_length_b 3.957
_cell_length_c 21.816
_cell_angle_alpha 90.00
_cell_angle_beta 90.00
_cell_angle_gamma 90.00
loop_
_atom_site_label
_atom_site_fract_x
_atom_site_fract_y
_atom_site_fract_z
Cu1 0.000 0.000 0.000
Au1 0.240 0.250 0.125
I1 0.000 0.000 0.500
```

Output
ρ: 11.36 g/cm³

***

<x>
DFT (PBE) results for an optimized crystal structure of CuAu2I.

Cell and atoms, written as CIF:
```
data_CuAu2I
_chemical_formula_sum 'Cu4 Au8 I4'
_space_group_name_H-M_alt 'F m -3 m'
_space_group_IT_number 225
_space_group_name_Hall '-F 4 2 3'
_cell_length_a 6.899
_cell_length_b 6.899
_cell_length_c 6.899
_cell_angle_alpha 90.00
_cell_angle_beta 90.00
_cell_angle_gamma 90.00
loop_
_atom_site_label
_atom_site_fract_x
_atom_site_fract_y
_atom_site_fract_z
Cu1 0.000 0.000 0.000
Au1 0.250 0.250 0.250
I1 0.000 0.000 0.500
```

Output
ρ: 11.82 g/cm³

***

Short version: <w> is the most stable of them.

***

<w>
DFT (PBE) results for an optimized crystal structure of CuAu2I4.

Cell and atoms, written as CIF:
```
data_CuAu2I4
_chemical_formula_sum 'Cu2 Au4 I8'
_space_group_name_H-M_alt 'I -4 2 m'
_space_group_IT_number 121
_space_group_name_Hall 'I -4 2'
_cell_length_a 6.353
_cell_length_b 6.353
_cell_length_c 12.260
_cell_angle_alpha 90.00
_cell_angle_beta 90.00
_cell_angle_gamma 90.00
loop_
_atom_site_label
_atom_site_fract_x
_atom_site_fract_y
_atom_site_fract_z
Cu1 0.000 0.000 0.000
Au1 0.000 0.500 0.250
I1 0.243 0.243 0.115
```

Output
ρ: 6.48 g/cm³

***

<x>
DFT (PBE) results for an optimized crystal structure of CuAu2I4.

Cell and atoms, written as CIF:
```
data_CuAu2I4
_chemical_formula_sum 'Cu1 Au2 I4'
_space_group_name_H-M_alt 'P -4 2 m'
_space_group_IT_number 111
_cell_length_a 6.168
_cell_length_b 6.168
_cell_length_c 6.794
_cell_angle_alpha 90.00
_cell_angle_beta 90.00
_cell_angle_gamma 90.00
loop_
_space_group_symop_operation_xyz
'x,y,z'
'y,-x,-z'
'-x,-y,z'
'-y,x,-z'
'x,-y,-z'
'y,x,z'
'-x,y,-z'
'-y,-x,z'
loop_
_atom_site_label
_atom_site_fract_x
_atom_site_fract_y
_atom_site_fract_z
Cu1 0.000 0.000 0.000
Au1 0.000 0.500 0.000
I1 0.238 0.238 0.256
```

Output
ρ: 6.20 g/cm³

***

Short version: <w> is the most stable of them.

***

<w>
DFT (PBE) results for an optimized crystal structure of CuAuIO2.

Cell and atoms, written as CIF:
```
data_CuAuIO2
_chemical_formula_sum 'Cu1 Au1 I1 O2'
_space_group_name_H-M_alt 'P 4/m m m'
_space_group_IT_number 123
_space_group_name_Hall '-P 4 2'
_cell_length_a 3.837
_cell_length_b 3.837
_cell_length_c 6.939
_cell_angle_alpha 90.00
_cell_angle_beta 90.00
_cell_angle_gamma 90.00
loop_
_atom_site_label
_atom_site_fract_x
_atom_site_fract_y
_atom_site_fract_z
Cu1 0.000 0.000 0.000
Au1 0.500 0.500 0.500
I1 0.000 0.000 0.500
O1 0.000 0.500 0.000
```

Output
ρ: 6.82 g/cm³

***

<x>
DFT (PBE) results for an optimized crystal structure of CuAuIO2.

Cell and atoms, written as CIF:
```
data_CuAuIO2
_chemical_formula_sum 'Cu1 Au1 I1 O2'
_space_group_name_H-M_alt 'P 4/m m m'
_space_group_IT_number 123
_space_group_name_Hall '-P 4 2'
_cell_length_a 3.900
_cell_length_b 3.900
_cell_length_c 7.722
_cell_angle_alpha 90.00
_cell_angle_beta 90.00
_cell_angle_gamma 90.00
loop_
_atom_site_label
_atom_site_fract_x
_atom_site_fract_y
_atom_site_fract_z
Cu1 0.000 0.000 0.000
Au1 0.500 0.500 0.500
I1 0.500 0.500 0.000
O1 0.000 0.500 0.500
```

Output
ρ: 5.93 g/cm³

***

Short version: <w> is the most stable of them.

***

<w>
DFT (PBE) results for an optimized crystal structure of CuAuI2O.

Cell and atoms, written as CIF:
```
data_CuAuI2O
_chemical_formula_sum 'Cu1 Au1 I2 O1'
_space_group_name_H-M_alt 'P 4/m m m'
_space_group_IT_number 123
_space_group_name_Hall '-P 4 2'
_cell_length_a 5.737
_cell_length_b 5.737
_cell_length_c 3.964
_cell_angle_alpha 90.00
_cell_angle_beta 90.00
_cell_angle_gamma 90.00
loop_
_atom_site_label
_atom_site_fract_x
_atom_site_fract_y
_atom_site_fract_z
Cu1 0.000 0.000 0.000
Au1 0.500 0.500 0.500
I1 0.000 0.500 0.500
O1 0.500 0.500 0.000
```

Output
ρ: 6.75 g/cm³

***

<x>
DFT (PBE) results for an optimized crystal structure of CuAuI2O.

Cell and atoms, written as CIF:
```
data_CuAuI2O
_chemical_formula_sum 'Cu1 Au1 I2 O1'
_space_group_name_H-M_alt 'P 4/m m m'
_space_group_IT_number 123
_space_group_name_Hall '-P 4 2'
_cell_length_a 5.846
_cell_length_b 5.846
_cell_length_c 3.489
_cell_angle_alpha 90.00
_cell_angle_beta 90.00
_cell_angle_gamma 90.00
loop_
_atom_site_label
_atom_site_fract_x
_atom_site_fract_y
_atom_site_fract_z
Cu1 0.000 0.000 0.000
Au1 0.500 0.500 0.500
I1 0.000 0.500 0.000
O1 0.000 0.000 0.500
```

Output
ρ: 7.38 g/cm³

***

Short version: <x> is the most stable of them.